[1]
Density functional theory data (PBE) for Hf2NbAu after structural relaxation.

a b c (Å): 4.7824 4.7824 4.7824
angles (deg): 60.00 60.00 60.00
Closest atoms and distances in Å follow each position.
Fractional coordinates of all 4 atoms:
Hf: 0.2500 0.2500 0.2500  4 Au 2.93, 4 Nb 2.93
Hf: 0.7500 0.7500 0.7500  4 Nb 2.93, 4 Au 2.93
Nb: 0.0000 0.0000 0.0000  8 Hf 2.93
Au: 0.5000 0.5000 0.5000  8 Hf 2.93

Computed properties:
energy above the lowest structure with this stoichiometry	96	meV/atom
calculated density	13.89	g/cm3

***

[2]
Density functional theory data (PBE) for HfNb2Au2 after structural relaxation.

a b c (Å): 7.1799 7.1799 3.7606
angles (deg): 90.00 90.00 90.00
Closest atoms and distances in Å follow each position.
Fractional coordinates of all 10 atoms:
Hf: 0.0000 0.0000 0.0000  4 Au 2.81
Hf: 0.5000 0.5000 0.0000  4 Au 2.81
Nb: 0.1692 0.6692 0.5000  6 Au 2.76-2.88
Nb: 0.6692 0.8308 0.5000  6 Au 2.76-2.88
Nb: 0.8308 0.3308 0.5000  6 Au 2.76-2.88
Nb: 0.3308 0.1692 0.5000  6 Au 2.76-2.88
Au: 0.3681 0.8681 0.0000  1 Au 2.68, 6 Nb 2.76-2.88, 2 Hf 2.81
Au: 0.8681 0.6319 0.0000  1 Au 2.68, 6 Nb 2.76-2.88, 2 Hf 2.81
Au: 0.6319 0.1319 0.0000  1 Au 2.68, 6 Nb 2.76-2.88, 2 Hf 2.81
Au: 0.1319 0.3681 0.0000  1 Au 2.68, 6 Nb 2.76-2.88, 2 Hf 2.81

Computed properties:
energy	-7.3099	eV per atom
calculated density	12.99	g/cm3

***

[3]
Density functional theory data (PBE) for HfNbAu6 after structural relaxation.

a b c (Å): 4.3898 4.8835 7.9017
angles (deg): 83.16 73.87 63.29
Closest atoms and distances in Å follow each position.
Fractional coordinates of all 8 atoms:
Hf: 0.0000 0.0000 0.0000  12 Au 2.89-3.11
Nb: 0.0000 0.5000 0.5000  12 Au 2.88-3.09
Au: 0.2499 0.8765 0.6238  8 Au 2.88-3.10, 3 Nb 2.88-2.89, 1 Hf 2.90
Au: 0.4993 0.2526 0.7488  8 Au 2.88-2.91, 2 Nb 3.09, 2 Hf 3.11
Au: 0.2500 0.3736 0.1264  1 Nb 2.89, 8 Au 2.89-3.12, 3 Hf 2.89-2.90
Au: 0.5007 0.7474 0.2512  8 Au 2.88-2.91, 2 Nb 3.09, 2 Hf 3.11
Au: 0.7501 0.1235 0.3762  8 Au 2.88-3.10, 3 Nb 2.88-2.89, 1 Hf 2.90
Au: 0.7500 0.6264 0.8736  1 Nb 2.89, 8 Au 2.89-3.12, 3 Hf 2.89-2.90

Computed properties:
energy	-5.1804	eV per atom
calculated density	16.60	g/cm3

***

[4]
Density functional theory data (PBE) for HfNbAu3 after structural relaxation.

a b c (Å): 4.9931 4.9931 4.9931
angles (deg): 90.00 90.00 90.00
Closest atoms and distances in Å follow each position.
Fractional coordinates of all 5 atoms:
Hf: 0.5000 0.5000 0.5000  12 Au 3.53
Nb: 0.0000 0.0000 0.0000  6 Au 2.50
Au: 0.0000 0.5000 0.0000  2 Nb 2.50
Au: 0.0000 0.0000 0.5000  2 Nb 2.50
Au: 0.5000 0.0000 0.0000  2 Nb 2.50

Computed properties:
energy above the lowest structure with this stoichiometry	0	meV/atom
calculated density	11.50	g/cm3

***

[5]
Density functional theory data (PBE) for HfNb2Au after structural relaxation.

a b c (Å): 3.4370 3.4370 6.4112
angles (deg): 90.00 90.00 90.00
Closest atoms and distances in Å follow each position.
Fractional coordinates of all 4 atoms:
Hf: 0.5000 0.5000 0.7526  4 Au 2.92, 5 Nb 2.95-3.08
Nb: 0.0000 0.0000 0.0134  4 Nb 2.81, 4 Hf 2.95, 1 Au 3.13
Nb: 0.5000 0.5000 0.2330  4 Nb 2.81, 4 Au 2.98, 1 Hf 3.08
Au: 0.0000 0.0000 0.5010  4 Hf 2.92, 5 Nb 2.98-3.13

Computed properties:
energy above the lowest structure with this stoichiometry	0	meV/atom
calculated density	12.31	g/cm3

***

[6]
Density functional theory data (PBE) for Hf2NbAu after structural relaxation.

a b c (Å): 3.4290 3.4290 6.6994
angles (deg): 90.00 90.00 90.00
Closest atoms and distances in Å follow each position.
Fractional coordinates of all 4 atoms:
Hf: 0.0000 0.0000 0.7561  4 Nb 2.92, 4 Au 2.97, 1 Hf 3.27
Hf: 0.0000 0.0000 0.2439  4 Nb 2.92, 4 Au 2.97, 1 Hf 3.27
Nb: 0.5000 0.5000 0.0000  8 Hf 2.92
Au: 0.5000 0.5000 0.5000  8 Hf 2.97

Computed properties:
energy above the lowest structure with this stoichiometry	0	meV/atom
calculated density	13.64	g/cm3